# 1
The following is a PBE-GGA calculation of a relaxed structure of AsCl2, from Alexandria.

Cell: 14.529 14.529 14.529 Å, 167.28 167.28 18.02°
Fractional positions:
As 0.375 0.625 0.750
As 0.625 0.375 0.250
Cl 0.067 0.817 0.250
Cl 0.183 0.933 0.250
Cl 0.817 0.067 0.750
Cl 0.933 0.183 0.750

Calculated values
- size of the total moment (μB per formula unit) = 0.000
- density (kg/m³) = 3258

# 2
The following is a PBE-GGA calculation of a relaxed structure of As6Cl, from Alexandria.

Cell: 6.344 6.344 6.344 Å, 109.47 109.47 109.47°
Fractional positions:
As 0.250 0.500 0.750
As 0.250 0.750 0.500
As 0.500 0.250 0.750
As 0.500 0.750 0.250
As 0.750 0.250 0.500
As 0.750 0.500 0.250
Cl 0.000 0.000 0.000

Calculated values
- size of the total moment (μB per formula unit) = 0.000
- density (kg/m³) = 4098

# 3
The following is a PBE-GGA calculation of a relaxed structure of As5Cl, from Alexandria.

Cell: 3.410 3.410 10.467 Å, 90.00 90.00 90.00°
Fractional positions:
As 0.000 0.000 0.000
As 0.000 0.000 0.297
As 0.000 0.000 0.703
As 0.500 0.500 0.178
As 0.500 0.500 0.822
Cl 0.500 0.500 0.500

Calculated values
- size of the total moment (μB per formula unit) = 0.000
- density (kg/m³) = 5596

# 4
The following is a PBE-GGA calculation of a relaxed structure of As5Cl, from Alexandria.

Cell: 4.842 6.887 6.887 Å, 39.57 90.00 90.00°
Fractional positions:
As 0.000 0.000 0.000
As 0.000 0.202 0.202
As 0.000 0.598 0.598
As 0.500 0.089 0.089
As 0.500 0.691 0.691
Cl 0.500 0.377 0.377

Calculated values
- size of the total moment (μB per formula unit) = 0.000
- density (kg/m³) = 4654

no.,formation energy from raw total energies (meV per atom)
1,120
2,156
3,287
4,181